TeMo3Se (PBE, optimized geometry); Fermi-level density of states = 1.38 states/eV/atom; formation energy from raw total energies = 1.1062 eV/atom; space group = No. 221; excess energy over the best structure of this formula in the dataset = 0.0 meV per atom
1.0
4.685 0.000 0.000
0.000 4.685 0.000
0.000 0.000 4.685
Te Mo Se
1 3 1
Cartesian
0.000 0.000 0.000
0.000 2.343 2.343
2.343 0.000 2.343
2.343 2.343 0.000
2.343 2.343 2.343